No. 1
The following is a PBE calculation of crystalline Pr6Te2PSe3 at its relaxed geometry, from Alexandria. Values from VASP.

Cell and atoms, written as Quantum ESPRESSO input:
```
&SYSTEM
  ibrav = 0, nat = 12, ntyp = 4
/
ATOMIC_SPECIES
Pr 140.91 Pr.upf
Te 127.60 Te.upf
P 30.97 P.upf
Se 78.96 Se.upf
ATOMIC_POSITIONS crystal
Pr 0.004 0.004 0.272
Pr 0.343 0.343 0.896
Pr 0.345 0.345 0.435
Pr 0.655 0.655 0.565
Pr 0.657 0.657 0.104
Pr 0.996 0.996 0.728
Te 0.169 0.169 0.840
Te 0.831 0.831 0.160
P 0.500 0.500 0.500
Se 0.171 0.171 0.341
Se 0.500 0.500 0.000
Se 0.829 0.829 0.659
CELL_PARAMETERS angstrom
9.492 -2.150 0.000
9.492 2.150 0.000
-1.915 0.000 8.582
```

***

No. 2
The following is a PBE calculation of crystalline Pr6Te3PSe2 at its relaxed geometry, from Alexandria. Values from VASP.

Cell and atoms, written as Quantum ESPRESSO input:
```
&SYSTEM
  ibrav = 0, nat = 12, ntyp = 4
/
ATOMIC_SPECIES
Pr 140.91 Pr.upf
Te 127.60 Te.upf
P 30.97 P.upf
Se 78.96 Se.upf
ATOMIC_POSITIONS crystal
Pr 0.072 0.391 0.216
Pr 0.245 0.245 0.782
Pr 0.391 0.072 0.216
Pr 0.609 0.928 0.784
Pr 0.755 0.755 0.218
Pr 0.928 0.609 0.784
Te 0.170 0.830 0.500
Te 0.500 0.500 0.500
Te 0.830 0.170 0.500
P 0.000 0.000 0.000
Se 0.334 0.666 0.000
Se 0.666 0.334 0.000
CELL_PARAMETERS angstrom
3.768 -6.524 0.000
3.768 6.524 0.000
-2.505 0.000 7.324
```

***

No. 3
The following is a PBE calculation of crystalline Pr6TeP3Se2 at its relaxed geometry, from Alexandria. Values from VASP.

Cell and atoms, written as Quantum ESPRESSO input:
```
&SYSTEM
  ibrav = 0, nat = 12, ntyp = 4
/
ATOMIC_SPECIES
Pr 140.91 Pr.upf
Te 127.60 Te.upf
P 30.97 P.upf
Se 78.96 Se.upf
ATOMIC_POSITIONS crystal
Pr 0.004 0.004 0.229
Pr 0.325 0.325 0.426
Pr 0.337 0.337 0.907
Pr 0.663 0.663 0.093
Pr 0.675 0.675 0.574
Pr 0.996 0.996 0.771
Te 0.500 0.500 0.500
P 0.166 0.166 0.331
P 0.500 0.500 0.000
P 0.834 0.834 0.669
Se 0.167 0.167 0.833
Se 0.833 0.833 0.167
CELL_PARAMETERS angstrom
9.408 -2.123 0.000
9.408 2.123 0.000
-2.231 0.000 8.361
```

***

No. 4
The following is a PBE calculation of crystalline Pr6Te3P2Se at its relaxed geometry, from Alexandria. Values from VASP.

Cell and atoms, written as Quantum ESPRESSO input:
```
&SYSTEM
  ibrav = 0, nat = 12, ntyp = 4
/
ATOMIC_SPECIES
Pr 140.91 Pr.upf
Te 127.60 Te.upf
P 30.97 P.upf
Se 78.96 Se.upf
ATOMIC_POSITIONS crystal
Pr 0.013 0.013 0.243
Pr 0.324 0.324 0.437
Pr 0.334 0.334 0.887
Pr 0.666 0.666 0.113
Pr 0.676 0.676 0.563
Pr 0.987 0.987 0.757
Te 0.163 0.163 0.833
Te 0.500 0.500 0.500
Te 0.837 0.837 0.167
P 0.168 0.168 0.334
P 0.832 0.832 0.666
Se 0.500 0.500 0.000
CELL_PARAMETERS angstrom
9.646 -2.158 0.000
9.646 2.158 0.000
-2.373 0.000 8.572
```

***

No. 5
The following is a PBE calculation of crystalline Pr8Te4PSe3 at its relaxed geometry, from Alexandria. Values from VASP.

Cell and atoms, written as Quantum ESPRESSO input:
```
&SYSTEM
  ibrav = 0, nat = 16, ntyp = 4
/
ATOMIC_SPECIES
Pr 140.91 Pr.upf
Te 127.60 Te.upf
P 30.97 P.upf
Se 78.96 Se.upf
ATOMIC_POSITIONS crystal
Pr 0.240 0.240 0.240
Pr 0.252 0.732 0.732
Pr 0.268 0.268 0.748
Pr 0.268 0.748 0.268
Pr 0.732 0.252 0.732
Pr 0.732 0.732 0.252
Pr 0.748 0.268 0.268
Pr 0.760 0.760 0.760
Te 0.000 0.000 0.000
Te 0.000 0.500 0.500
Te 0.500 0.000 0.500
Te 0.500 0.500 0.000
P 0.500 0.500 0.500
Se 0.000 0.000 0.500
Se 0.000 0.500 0.000
Se 0.500 0.000 0.000
CELL_PARAMETERS angstrom
4.359 2.517 7.309
-4.359 2.517 7.309
0.000 -5.033 7.309
```

***

No. 6
The following is a PBE calculation of crystalline Pr6TeP2Se3 at its relaxed geometry, from Alexandria. Values from VASP.

Cell and atoms, written as Quantum ESPRESSO input:
```
&SYSTEM
  ibrav = 0, nat = 12, ntyp = 4
/
ATOMIC_SPECIES
Pr 140.91 Pr.upf
Te 127.60 Te.upf
P 30.97 P.upf
Se 78.96 Se.upf
ATOMIC_POSITIONS crystal
Pr 0.011 0.011 0.272
Pr 0.325 0.325 0.890
Pr 0.328 0.328 0.426
Pr 0.672 0.672 0.574
Pr 0.675 0.675 0.110
Pr 0.989 0.989 0.728
Te 0.500 0.500 0.000
P 0.168 0.168 0.336
P 0.832 0.832 0.664
Se 0.162 0.162 0.836
Se 0.500 0.500 0.500
Se 0.838 0.838 0.164
CELL_PARAMETERS angstrom
9.363 -2.133 0.000
9.363 2.133 0.000
-1.962 0.000 8.436
```

***

No. 7
The following is a PBE calculation of crystalline Pr8Te4P3Se at its relaxed geometry, from Alexandria. Values from VASP.

Cell and atoms, written as Quantum ESPRESSO input:
```
&SYSTEM
  ibrav = 0, nat = 16, ntyp = 4
/
ATOMIC_SPECIES
Pr 140.91 Pr.upf
Te 127.60 Te.upf
P 30.97 P.upf
Se 78.96 Se.upf
ATOMIC_POSITIONS crystal
Pr 0.229 0.743 0.743
Pr 0.238 0.238 0.238
Pr 0.257 0.257 0.771
Pr 0.257 0.771 0.257
Pr 0.743 0.229 0.743
Pr 0.743 0.743 0.229
Pr 0.762 0.762 0.762
Pr 0.771 0.257 0.257
Te 0.000 0.000 0.000
Te 0.000 0.500 0.500
Te 0.500 0.000 0.500
Te 0.500 0.500 0.000
P 0.000 0.000 0.500
P 0.000 0.500 0.000
P 0.500 0.000 0.000
Se 0.500 0.500 0.500
CELL_PARAMETERS angstrom
4.308 2.487 7.385
-4.308 2.487 7.385
0.000 -4.974 7.385
```

***

No. 8
The following is a PBE calculation of crystalline Pr4TeP2Se at its relaxed geometry, from Alexandria. Values from VASP.

Cell and atoms, written as Quantum ESPRESSO input:
```
&SYSTEM
  ibrav = 0, nat = 8, ntyp = 4
/
ATOMIC_SPECIES
Pr 140.91 Pr.upf
Te 127.60 Te.upf
P 30.97 P.upf
Se 78.96 Se.upf
ATOMIC_POSITIONS crystal
Pr 0.011 0.511 0.500
Pr 0.235 0.235 0.000
Pr 0.489 0.989 0.500
Pr 0.765 0.765 0.000
Te 0.500 0.500 0.000
P 0.000 0.000 0.000
P 0.250 0.750 0.500
Se 0.750 0.250 0.500
CELL_PARAMETERS angstrom
-3.049 3.049 6.095
3.049 -3.049 6.095
3.049 3.049 -6.095
```

***

No. 9
The following is a PBE calculation of crystalline PrThPSe at its relaxed geometry, from Alexandria. Values from VASP.

Cell and atoms, written as Quantum ESPRESSO input:
```
&SYSTEM
  ibrav = 0, nat = 4, ntyp = 4
/
ATOMIC_SPECIES
Pr 140.91 Pr.upf
Th 232.04 Th.upf
P 30.97 P.upf
Se 78.96 Se.upf
ATOMIC_POSITIONS crystal
Pr 0.000 0.000 0.000
Th 0.814 0.814 0.814
P 0.409 0.409 0.409
Se 0.237 0.237 0.237
CELL_PARAMETERS angstrom
2.059 1.189 7.276
-2.059 1.189 7.276
0.000 -2.378 7.276
```

***

No. 10
The following is a PBE calculation of crystalline PrTlP2Se6 at its relaxed geometry, from Alexandria. Values from VASP.

Cell and atoms, written as Quantum ESPRESSO input:
```
&SYSTEM
  ibrav = 0, nat = 40, ntyp = 4
/
ATOMIC_SPECIES
Pr 140.91 Pr.upf
Tl 204.38 Tl.upf
P 30.97 P.upf
Se 78.96 Se.upf
ATOMIC_POSITIONS crystal
Pr 0.148 0.102 0.405
Pr 0.148 0.398 0.905
Pr 0.852 0.602 0.095
Pr 0.852 0.898 0.595
Tl 0.373 0.592 0.630
Tl 0.373 0.908 0.130
Tl 0.627 0.092 0.870
Tl 0.627 0.408 0.370
P 0.172 0.594 0.245
P 0.172 0.906 0.745
P 0.287 0.120 0.731
P 0.287 0.380 0.231
P 0.713 0.620 0.769
P 0.713 0.880 0.269
P 0.828 0.094 0.255
P 0.828 0.406 0.755
Se 0.048 0.033 0.814
Se 0.048 0.467 0.314
Se 0.088 0.691 0.063
Se 0.088 0.809 0.563
Se 0.171 0.183 0.131
Se 0.171 0.317 0.631
Se 0.281 0.715 0.863
Se 0.281 0.785 0.363
Se 0.366 0.215 0.914
Se 0.366 0.285 0.414
Se 0.384 0.017 0.625
Se 0.384 0.483 0.125
Se 0.616 0.517 0.875
Se 0.616 0.983 0.375
Se 0.634 0.715 0.586
Se 0.634 0.785 0.086
Se 0.719 0.215 0.637
Se 0.719 0.285 0.137
Se 0.829 0.683 0.369
Se 0.829 0.817 0.869
Se 0.912 0.191 0.437
Se 0.912 0.309 0.937
Se 0.952 0.533 0.686
Se 0.952 0.967 0.186
CELL_PARAMETERS angstrom
12.682 0.000 0.000
0.000 7.864 0.000
-3.924 0.000 11.277
```

***

Number 1: total DFT energy (no corrections) -5.9180 eV/atom, formation energy without anion corrections -162.4 kJ per mole of atoms. Number 2: total DFT energy (no corrections) -5.8517 eV/atom, formation energy without anion corrections -158.7 kJ per mole of atoms. Number 3: total DFT energy (no corrections) -6.2759 eV/atom, formation energy without anion corrections -163.2 kJ per mole of atoms. Number 4: total DFT energy (no corrections) -5.9794 eV/atom, formation energy without anion corrections -155.6 kJ per mole of atoms. Number 5: total DFT energy (no corrections) -5.8134 eV/atom, formation energy without anion corrections -158.9 kJ per mole of atoms. Number 6: total DFT energy (no corrections) -6.1482 eV/atom, formation energy without anion corrections -166.3 kJ per mole of atoms. Number 7: total DFT energy (no corrections) -6.0093 eV/atom, formation energy without anion corrections -154.6 kJ per mole of atoms. Number 8: total DFT energy (no corrections) -6.1774 eV/atom, formation energy without anion corrections -155.0 kJ per mole of atoms. Number 9: total DFT energy (no corrections) -6.9168 eV/atom, formation energy without anion corrections -158.6 kJ per mole of atoms. Number 10: total DFT energy (no corrections) -4.5461 eV/atom, formation energy without anion corrections -63.6 kJ per mole of atoms.